VASP calculation (GGA-PBE) on an optimized crystal structure of Dy2ErMg3Al2Cd.

abc: 4.533 7.394 7.394
angles: 119.94 90.00 90.00
Fractional coordinates of all 9 atoms:
Dy1 0.000 0.214 0.786
Dy2 0.000 0.786 0.214
Er1 0.000 0.643 0.643
Mg1 0.500 0.214 0.460
Mg2 0.500 0.460 0.214
Mg3 0.500 0.968 0.968
Al1 0.500 0.548 0.881
Al2 0.500 0.881 0.548
Cd1 0.000 0.214 0.214

**Final energy**: -29.58 eV/f.u.
**ρ**: 5.66 Mg/m³